VASP calculation (PBE-GGA) on an optimized crystal structure of InCuTe2.

## Properties
E_tot	-3.15	eV/atom
magnetization	0.0	Bohr magnetons per cell
SG	C2/m, No. 12

CIF file:
```
data_InCuTe2
_chemical_formula_sum 'In1 Cu1 Te2'
_cell_length_a 5.7632
_cell_length_b 5.2360
_cell_length_c 4.6035
_cell_angle_alpha 74.60
_cell_angle_beta 71.57
_cell_angle_gamma 114.29
_space_group_name_H-M_alt 'P 1'
_space_group_IT_number 1
loop_
_space_group_symop_operation_xyz
'x,y,z'
loop_
_atom_site_label
_atom_site_type_symbol
_atom_site_fract_x
_atom_site_fract_y
_atom_site_fract_z
Cu1 Cu 0.0000 0.5000 0.5000
In1 In 0.5000 0.5000 0.0000
Te1 Te 0.0000 0.0000 0.0000
Te2 Te 0.5000 0.0000 0.5000
```



VASP calculation (PBE-GGA) on an optimized crystal structure of CrHg2Ru.

## Properties
E_tot	-4.31	eV/atom
magnetization	2.8	Bohr magnetons per cell
ΔE to the lowest computed polymorph	268	meV per atom
SG	C2/m, No. 12

CIF file:
```
data_CrHg2Ru
_chemical_formula_sum 'Cr1 Hg2 Ru1'
_cell_length_a 4.9502
_cell_length_b 4.9502
_cell_length_c 5.1169
_cell_angle_alpha 79.26
_cell_angle_beta 79.26
_cell_angle_gamma 35.77
_space_group_name_H-M_alt 'P 1'
_space_group_IT_number 1
loop_
_space_group_symop_operation_xyz
'x,y,z'
loop_
_atom_site_label
_atom_site_type_symbol
_atom_site_fract_x
_atom_site_fract_y
_atom_site_fract_z
Cr1 Cr 0.2500 0.2500 0.2500
Hg1 Hg 0.9999 0.9999 0.9975
Hg2 Hg 0.5001 0.5001 0.5025
Ru1 Ru 0.7500 0.7500 0.7500
```



VASP calculation (PBE-GGA) on an optimized crystal structure of TiTeAs.

## Properties
E_tot	-5.92	eV/atom
magnetization	0.0	Bohr magnetons per cell
SG	Immm, No. 71

CIF file:
```
data_TiTeAs
_chemical_formula_sum 'Ti2 Te2 As2'
_cell_length_a 7.1797
_cell_length_b 7.1797
_cell_length_c 7.1797
_cell_angle_alpha 150.96
_cell_angle_beta 136.64
_cell_angle_gamma 53.03
_space_group_name_H-M_alt 'P 1'
_space_group_IT_number 1
loop_
_space_group_symop_operation_xyz
'x,y,z'
loop_
_atom_site_label
_atom_site_type_symbol
_atom_site_fract_x
_atom_site_fract_y
_atom_site_fract_z
Ti1 Ti 0.8820 0.3820 0.5000
Ti2 Ti 0.1180 0.6180 0.5000
Te1 Te 0.7093 0.7093 0.0000
Te2 Te 0.2907 0.2907 0.0000
As1 As 0.7486 0.0000 0.7486
As2 As 0.2514 0.0000 0.2514
```



VASP calculation (PBE-GGA) on an optimized crystal structure of TiOsSN2.

## Properties
E_tot	-6.93	eV/atom
magnetization	2.5	Bohr magnetons per cell
ΔE to the lowest computed polymorph	647	meV per atom
SG	P4/mmm, No. 123

CIF file:
```
data_TiOsSN2
_chemical_formula_sum 'Ti1 Os1 S1 N2'
_cell_length_a 3.7940
_cell_length_b 3.7940
_cell_length_c 5.0304
_cell_angle_alpha 90.00
_cell_angle_beta 90.00
_cell_angle_gamma 90.00
_space_group_name_H-M_alt 'P 1'
_space_group_IT_number 1
loop_
_space_group_symop_operation_xyz
'x,y,z'
loop_
_atom_site_label
_atom_site_type_symbol
_atom_site_fract_x
_atom_site_fract_y
_atom_site_fract_z
S1 S 0.0000 0.0000 0.5000
N1 N 0.0000 0.5000 0.0000
N2 N 0.5000 0.0000 0.0000
Os1 Os 0.5000 0.5000 0.5000
Ti1 Ti 0.0000 0.0000 0.0000
```



VASP calculation (PBE-GGA) on an optimized crystal structure of TlW4Cl.

## Properties
E_tot	-8.12	eV/atom
magnetization	0.0	Bohr magnetons per cell
SG	F-43m, No. 216

CIF file:
```
data_TlW4Cl
_chemical_formula_sum 'Tl1 W4 Cl1'
_cell_length_a 5.4629
_cell_length_b 5.4629
_cell_length_c 5.4629
_cell_angle_alpha 60.00
_cell_angle_beta 60.00
_cell_angle_gamma 60.00
_space_group_name_H-M_alt 'P 1'
_space_group_IT_number 1
loop_
_space_group_symop_operation_xyz
'x,y,z'
loop_
_atom_site_label
_atom_site_type_symbol
_atom_site_fract_x
_atom_site_fract_y
_atom_site_fract_z
Tl1 Tl 0.0000 0.0000 0.0000
W1 W 0.8594 0.3802 0.3802
W2 W 0.3802 0.3802 0.8594
W3 W 0.3802 0.8594 0.3802
W4 W 0.3802 0.3802 0.3802
Cl1 Cl 0.7500 0.7500 0.7500
```



VASP calculation (PBE-GGA) on an optimized crystal structure of NaTaCd.

## Properties
E_tot	-4.37	eV/atom
magnetization	0.0	Bohr magnetons per cell
ΔE to the lowest computed polymorph	188	meV per atom
SG	Pnma, No. 62

CIF file:
```
data_NaTaCd
_chemical_formula_sum 'Na4 Ta4 Cd4'
_cell_length_a 8.6083
_cell_length_b 2.8310
_cell_length_c 10.7744
_cell_angle_alpha 90.00
_cell_angle_beta 90.00
_cell_angle_gamma 90.00
_space_group_name_H-M_alt 'P 1'
_space_group_IT_number 1
loop_
_space_group_symop_operation_xyz
'x,y,z'
loop_
_atom_site_label
_atom_site_type_symbol
_atom_site_fract_x
_atom_site_fract_y
_atom_site_fract_z
Na1 Na 0.8356 0.2500 0.4164
Na2 Na 0.6644 0.7500 0.9164
Na3 Na 0.1644 0.7500 0.5836
Na4 Na 0.3356 0.2500 0.0836
Cd1 Cd 0.8457 0.2500 0.7041
Cd2 Cd 0.6543 0.7500 0.2041
Cd3 Cd 0.1543 0.7500 0.2959
Cd4 Cd 0.3457 0.2500 0.7959
Ta1 Ta 0.4498 0.2500 0.3989
Ta2 Ta 0.0502 0.7500 0.8989
Ta3 Ta 0.5502 0.7500 0.6011
Ta4 Ta 0.9498 0.2500 0.1011
```



VASP calculation (PBE-GGA) on an optimized crystal structure of Na12Hg5Au2.

## Properties
E_tot	-1.46	eV/atom
magnetization	0.0	Bohr magnetons per cell
SG	C2/m, No. 12

CIF file:
```
data_Na12Hg5Au2
_chemical_formula_sum 'Na12 Hg5 Au2'
_cell_length_a 8.2034
_cell_length_b 8.2034
_cell_length_c 8.0567
_cell_angle_alpha 83.94
_cell_angle_beta 83.94
_cell_angle_gamma 75.50
_space_group_name_H-M_alt 'P 1'
_space_group_IT_number 1
loop_
_space_group_symop_operation_xyz
'x,y,z'
loop_
_atom_site_label
_atom_site_type_symbol
_atom_site_fract_x
_atom_site_fract_y
_atom_site_fract_z
Na1 Na 0.8871 0.8871 0.1256
Na2 Na 0.0269 0.6438 0.7996
Na3 Na 0.6438 0.0269 0.7996
Na4 Na 0.1546 0.6287 0.3678
Na5 Na 0.6287 0.1546 0.3678
Na6 Na 0.4277 0.4277 0.7309
Na7 Na 0.5723 0.5723 0.2691
Na8 Na 0.8454 0.3713 0.6322
Na9 Na 0.3713 0.8454 0.6322
Na10 Na 0.9731 0.3562 0.2004
Na11 Na 0.3562 0.9731 0.2004
Na12 Na 0.1129 0.1129 0.8744
Hg1 Hg 0.2420 0.2420 0.5048
Hg2 Hg 0.3501 0.3501 0.1064
Hg3 Hg 0.0000 0.0000 0.5000
Hg4 Hg 0.6499 0.6499 0.8936
Hg5 Hg 0.7580 0.7580 0.4952
Au1 Au 0.7201 0.2799 0.0000
Au2 Au 0.2799 0.7201 0.0000
```



VASP calculation (PBE-GGA) on an optimized crystal structure of LaTbPb.

## Properties
E_tot	-4.75	eV/atom
magnetization	0.0	Bohr magnetons per cell
ΔE to the lowest computed polymorph	135	meV per atom
SG	I4mm, No. 107

CIF file:
```
data_LaTbPb
_chemical_formula_sum 'La1 Tb1 Pb1'
_cell_length_a 4.2404
_cell_length_b 4.2404
_cell_length_c 5.9201
_cell_angle_alpha 110.99
_cell_angle_beta 110.99
_cell_angle_gamma 90.00
_space_group_name_H-M_alt 'P 1'
_space_group_IT_number 1
loop_
_space_group_symop_operation_xyz
'x,y,z'
loop_
_atom_site_label
_atom_site_type_symbol
_atom_site_fract_x
_atom_site_fract_y
_atom_site_fract_z
Pb1 Pb 0.2893 0.2893 0.5786
Tb1 Tb 0.9359 0.9359 0.8718
La1 La 0.6248 0.6248 0.2495
```



VASP calculation (PBE-GGA) on an optimized crystal structure of Te2OsRhI.

## Properties
E_tot	-4.07	eV/atom
magnetization	1.5	Bohr magnetons per cell
ΔE to the lowest computed polymorph	0	meV per atom
SG	P4/mmm, No. 123

CIF file:
```
data_Te2OsRhI
_chemical_formula_sum 'Te2 Os1 Rh1 I1'
_cell_length_a 5.0909
_cell_length_b 5.0909
_cell_length_c 5.6171
_cell_angle_alpha 90.00
_cell_angle_beta 90.00
_cell_angle_gamma 90.00
_space_group_name_H-M_alt 'P 1'
_space_group_IT_number 1
loop_
_space_group_symop_operation_xyz
'x,y,z'
loop_
_atom_site_label
_atom_site_type_symbol
_atom_site_fract_x
_atom_site_fract_y
_atom_site_fract_z
I1 I 0.0000 0.0000 0.5000
Rh1 Rh 0.5000 0.5000 0.5000
Te1 Te 0.0000 0.5000 0.0000
Te2 Te 0.5000 0.0000 0.0000
Os1 Os 0.0000 0.0000 0.0000
```



VASP calculation (PBE-GGA) on an optimized crystal structure of YBrCl.

## Properties
E_tot	-4.92	eV/atom
magnetization	0.4	Bohr magnetons per cell
SG	Fmm2, No. 42

CIF file:
```
data_YBrCl
_chemical_formula_sum 'Y1 Br1 Cl1'
_cell_length_a 8.5753
_cell_length_b 8.0338
_cell_length_c 4.0481
_cell_angle_alpha 83.47
_cell_angle_beta 68.56
_cell_angle_gamma 27.97
_space_group_name_H-M_alt 'P 1'
_space_group_IT_number 1
loop_
_space_group_symop_operation_xyz
'x,y,z'
loop_
_atom_site_label
_atom_site_type_symbol
_atom_site_fract_x
_atom_site_fract_y
_atom_site_fract_z
Y1 Y 0.6711 0.6711 0.3289
Br1 Br 0.0393 0.0393 0.9607
Cl1 Cl 0.2897 0.2897 0.7103
```



VASP calculation (PBE-GGA) on an optimized crystal structure of Bi4O5.

## Properties
E_tot	-5.47	eV/atom
magnetization	0.0	Bohr magnetons per cell
ΔE to the lowest computed polymorph	4	meV per atom
SG	Cc, No. 9

CIF file:
```
data_Bi4O5
_chemical_formula_sum 'Bi8 O10'
_cell_length_a 7.9301
_cell_length_b 7.9301
_cell_length_c 5.6661
_cell_angle_alpha 83.18
_cell_angle_beta 83.18
_cell_angle_gamma 86.89
_space_group_name_H-M_alt 'P 1'
_space_group_IT_number 1
loop_
_space_group_symop_operation_xyz
'x,y,z'
loop_
_atom_site_label
_atom_site_type_symbol
_atom_site_fract_x
_atom_site_fract_y
_atom_site_fract_z
Bi1 Bi 0.7938 0.4550 0.2584
Bi2 Bi 0.7641 0.9648 0.2301
Bi3 Bi 0.2267 0.0382 0.3005
Bi4 Bi 0.2897 0.5647 0.2151
Bi5 Bi 0.9648 0.7641 0.7301
Bi6 Bi 0.5647 0.2897 0.7151
Bi7 Bi 0.4550 0.7938 0.7584
Bi8 Bi 0.0382 0.2267 0.8005
O1 O 0.7549 0.2345 0.0083
O2 O 0.0200 0.9747 0.0211
O3 O 0.5145 0.4798 0.3823
O4 O 0.8529 0.7055 0.4151
O5 O 0.2964 0.1289 0.6359
O6 O 0.2345 0.7549 0.5083
O7 O 0.9747 0.0200 0.5211
O8 O 0.4798 0.5145 0.8823
O9 O 0.7055 0.8529 0.9151
O10 O 0.1289 0.2964 0.1359
```



VASP calculation (PBE-GGA) on an optimized crystal structure of VSbTe2.

## Properties
E_tot	-4.69	eV/atom
magnetization	5.8	Bohr magnetons per cell
SG	I-42d, No. 122

CIF file:
```
data_VSbTe2
_chemical_formula_sum 'V2 Sb2 Te4'
_cell_length_a 8.2066
_cell_length_b 8.2066
_cell_length_c 6.5890
_cell_angle_alpha 51.48
_cell_angle_beta 51.48
_cell_angle_gamma 90.00
_space_group_name_H-M_alt 'P 1'
_space_group_IT_number 1
loop_
_space_group_symop_operation_xyz
'x,y,z'
loop_
_atom_site_label
_atom_site_type_symbol
_atom_site_fract_x
_atom_site_fract_y
_atom_site_fract_z
Sb1 Sb 0.0000 0.0000 0.0000
Sb2 Sb 0.7500 0.2500 0.5000
Te1 Te 0.5841 0.1250 0.2500
Te2 Te 0.1659 0.6250 0.2500
Te3 Te 0.3750 0.4159 0.7500
Te4 Te 0.8750 0.8341 0.7500
V1 V 0.5000 0.5000 0.0000
V2 V 0.2500 0.7500 0.5000
```